SrPtI2N: relaxed, PBE.

Summary:
As for the density of states at the Fermi level: 0.3665 states/eV per atom. For the volume, the calculation gives 139 Å³/cell. The value obtained for the spin magnetization is 0.0 μB/f.u. As for the theoretical density: 6.6 g cm⁻³. The energy comes out at -20.278 eV for the cell shown. As for the energy above the lowest structure with this stoichiometry: 0.0 meV per atom. Its space group is No. 123. The value obtained for the formation energy from raw total energies is -0.23 eV/atom.

abc: 6.0376 6.0376 3.8041
angles: 90.00 90.00 90.00
Closest atoms and distances in Å follow each position.
Positions (direct):
Sr1 0.0000 0.0000 0.0000  8 I 3.57, 2 Sr 3.80
Pt1 0.5000 0.5000 0.5000  2 N 1.90
I1 0.0000 0.5000 0.5000  2 Pt 3.02
I2 0.5000 0.0000 0.5000  2 Pt 3.02
N1 0.5000 0.5000 0.0000  2 Pt 1.90

=====

Y2ZnHg2: relaxed, PBE.

Summary:
As for the density of states at the Fermi level: 1.1247 states/eV per atom. For the volume, the calculation gives 266 Å³/cell. The value obtained for the spin magnetization is 0.0 μB/f.u. As for the theoretical density: 8.0 g cm⁻³. The energy comes out at -31.766 eV for the cell shown. As for the energy above the lowest structure with this stoichiometry: 191.7 meV per atom. Its space group is No. 127. The formation energy is -0.215 eV per atom.

abc: 8.2832 8.2832 3.8812
angles: 90.00 90.00 90.00
Closest atoms and distances in Å follow each position.
Positions (direct):
Y1 0.1607 0.3393 0.0000  6 Hg 3.05-3.15, 2 Zn 3.11
Y2 0.3393 0.8393 0.0000  6 Hg 3.05-3.15, 2 Zn 3.11
Y3 0.6607 0.1607 0.0000  6 Hg 3.05-3.15, 2 Zn 3.11
Y4 0.8393 0.6607 0.0000  6 Hg 3.05-3.15, 2 Zn 3.11
Zn1 0.0000 0.0000 0.0000  4 Y 3.11
Zn2 0.5000 0.5000 0.0000  4 Y 3.11
Hg1 0.1387 0.6387 0.5000  6 Y 3.05-3.15, 1 Hg 3.25
Hg2 0.3613 0.1387 0.5000  6 Y 3.05-3.15, 1 Hg 3.25
Hg3 0.6387 0.8613 0.5000  6 Y 3.05-3.15, 1 Hg 3.25
Hg4 0.8613 0.3613 0.5000  6 Y 3.05-3.15, 1 Hg 3.25